[1]
The following is a DFT calculation (GGA-PBE) of a geometry-optimized RbMgHg2Sb structure.

Cell and atoms, written as extended XYZ:
```
5
Lattice="5.7154 0.0000 0.0000 0.0000 5.7154 0.0000 0.0000 0.0000 5.4631" Properties=species:S:1:pos:R:3 pbc="T T T"
Rb 0.0000 0.0000 0.0000
Mg 2.8577 2.8577 2.7315
Hg 0.0000 2.8577 2.7315
Hg 2.8577 0.0000 2.7315
Sb 2.8577 2.8577 0.0000
```

## Properties
The value obtained for the electronic total energy is -8.104 eV for the cell shown.

[2]
The following is a DFT calculation (GGA-PBE) of a geometry-optimized Tl5Pb3Br12 structure.

Cell and atoms, written as extended XYZ:
```
20
Lattice="13.7394 0.0000 0.0000 -6.8697 11.8987 0.0000 0.0000 0.0000 4.5353" Properties=species:S:1:pos:R:3 pbc="T T T"
Tl -1.9916 3.4495 0.0000
Tl 3.9831 0.0000 0.0000
Tl 0.0000 7.9325 0.0000
Tl 6.8697 3.9662 0.0000
Tl 4.8782 8.4492 0.0000
Pb -4.6255 8.0117 2.2677
Pb 2.2442 3.8871 2.2677
Pb 9.2511 0.0000 2.2677
Br -3.6276 6.2832 0.0000
Br -5.6486 9.7836 0.0000
Br 1.2211 2.1151 0.0000
Br -0.3743 5.3688 2.2677
Br -2.0331 9.5385 2.2677
Br 4.8366 2.3602 2.2677
Br 3.2421 5.6155 0.0000
Br 7.2552 0.0000 0.0000
Br 2.4074 8.8901 2.2677
Br 6.4954 6.5300 2.2677
Br 9.2771 3.0086 2.2677
Br 11.2971 0.0000 0.0000
```

## Properties
The value obtained for the electronic total energy is -59.741 eV for the cell shown. The polymorph energy (0 for the lowest one) comes out at 0 meV/atom.

[3]
The following is a DFT calculation (GGA-PBE) of a geometry-optimized LaBe2Tl structure.

Cell and atoms, written as extended XYZ:
```
4
Lattice="4.2380 0.0000 0.0000 0.0000 2.3866 4.0045 0.0000 -2.3866 4.0045" Properties=species:S:1:pos:R:3 pbc="T T T"
La 0.0000 0.0000 0.0000
Be 0.0000 0.0000 5.2798
Be 2.1190 0.0000 5.4267
Tl 2.1190 0.0000 2.7292
```

## Properties
The value obtained for the electronic total energy is -14.249 eV for the cell shown. The polymorph energy (0 for the lowest one) comes out at 61 meV/atom. The calculation puts the energy of formation from the pure elements at 48 kJ/mol of formula units.

[4]
The following is a DFT calculation (GGA-PBE) of a geometry-optimized YTa3Os structure.

Cell and atoms, written as extended XYZ:
```
5
Lattice="4.9203 0.0000 0.0000 0.0000 4.9203 0.0000 0.0000 0.0000 4.9203" Properties=species:S:1:pos:R:3 pbc="T T T"
Y 0.0000 0.0000 0.0000
Ta 0.0000 2.4602 2.4602
Ta 2.4602 0.0000 2.4602
Ta 2.4602 2.4602 0.0000
Os 2.4602 2.4602 2.4602
```

## Properties
The value obtained for the electronic total energy is -49.346 eV for the cell shown. The polymorph energy (0 for the lowest one) comes out at 0 meV/atom. The calculation puts the energy of formation from the pure elements at 377 kJ/mol of formula units.

[5]
The following is a DFT calculation (GGA-PBE) of a geometry-optimized Ac2TlAgIr structure.

Cell and atoms, written as extended XYZ:
```
10
Lattice="8.6381 0.0000 0.0000 0.0000 4.2463 0.0000 -3.4320 0.0000 8.0853" Properties=species:S:1:pos:R:3 pbc="T T T"
Ac -0.1012 1.0616 2.7818
Ac -0.9099 1.0616 8.0593
Ac 6.1160 3.1847 0.0260
Ac 5.3073 3.1847 5.3035
Tl 0.3735 3.1847 5.4927
Tl 4.8326 1.0616 2.5926
Ag 2.5981 3.1847 2.8793
Ag 2.6079 1.0616 5.2060
Ir 0.5501 3.1847 0.7355
Ir 4.6559 1.0616 7.3497
```

## Properties
The value obtained for the electronic total energy is -48.587 eV for the cell shown. The calculation puts the energy of formation from the pure elements at -193 kJ/mol of formula units.

[6]
The following is a DFT calculation (GGA-PBE) of a geometry-optimized KSiAg2F6 structure.

Cell and atoms, written as extended XYZ:
```
20
Lattice="7.2223 0.0000 0.0000 0.0000 6.1092 0.0000 -6.7157 0.0000 7.2702" Properties=species:S:1:pos:R:3 pbc="T T T"
K 0.0000 0.0000 0.0000
K -3.3578 3.0546 3.6351
Si 0.2533 0.0000 3.6351
Si 3.6111 3.0546 0.0000
Ag -3.3214 0.0470 5.0246
Ag 0.0364 3.0076 1.3895
Ag 0.4702 3.1015 5.8807
Ag 3.8280 6.0622 2.2456
F -4.1383 3.8870 6.1518
F -0.7805 5.2768 2.5167
F -0.6316 1.4596 3.3895
F -3.9895 1.5949 7.0246
F 1.2857 0.4347 2.3270
F -2.0722 2.6199 5.9621
F 2.5787 3.4893 1.3082
F -0.7791 5.6745 4.9433
F 4.4960 4.5142 0.2456
F 1.1382 4.6495 3.8807
F 1.2870 0.8324 4.7536
F 4.6449 2.2222 1.1185
```

## Properties
The value obtained for the electronic total energy is -90.804 eV for the cell shown.

electronic total energy of number 4 (YTa3Os)? -49.346 eV for the cell shown